Density functional theory data (PBE-GGA) for TlPd2Br2 after structural relaxation.

```
TlPd2Br2
1.0
7.6966 0.0000 0.0000
0.0000 7.6966 0.0000
0.0000 0.0000 3.7769
Tl Pd Br
2 4 4
direct
0.0000 0.0000 0.0000
0.5000 0.5000 0.0000
0.1296 0.3704 0.0000
0.3704 0.8704 0.0000
0.6296 0.1296 0.0000
0.8704 0.6296 0.0000
0.1780 0.6780 0.5000
0.3220 0.1780 0.5000
0.6780 0.8220 0.5000
0.8220 0.3220 0.5000
```

The value obtained for the energy relative to the elements, uncorrected is -0.006 eV per atom. As for the crystal system: tetragonal. The total magnetization is 0.00 μB/cell.